PBE MgZrMo2, relaxed; SG = Pmmm, No. 47; raw total energy = -7.631 eV/atom; formation energy = 0.320 eV/atom; magnetization = 0.00 Bohr magnetons per cell
1.0
2.668 0.000 0.000
0.000 4.669 0.000
0.000 0.000 5.827
Mg Zr Mo
1 1 2
Cartesian
0.000 0.000 0.000
0.000 0.000 2.914
1.334 2.334 1.330
1.334 2.334 4.497

***

PBE Mg2ZrMo, relaxed; relative energy among the computed polymorphs = 167 meV per atom; SG = R-3m, No. 166; raw total energy = -5.331 eV/atom; formation energy = 0.311 eV/atom; magnetization = 0.35 Bohr magnetons per cell
1.0
1.478 0.853 10.388
-1.478 0.853 10.388
0.000 -1.706 10.388
Mg Zr Mo
2 1 1
Cartesian
0.000 0.000 7.596
0.000 0.000 23.569
0.000 0.000 0.000
0.000 0.000 15.582

***

PBE Mg2ZrMo, relaxed; relative energy among the computed polymorphs = 68 meV per atom; SG = P2/m, No. 10; raw total energy = -5.430 eV/atom; formation energy = 0.212 eV/atom; magnetization = 0.00 Bohr magnetons per cell
1.0
2.913 0.000 0.000
0.000 5.025 0.000
-1.351 0.000 5.319
Mg Zr Mo
2 1 1
Cartesian
0.224 0.000 1.411
1.338 0.000 3.908
1.456 2.513 0.000
-0.676 2.513 2.659

***

PBE Mg2ZrMo, relaxed; relative energy among the computed polymorphs = 141 meV per atom; SG = I-4m2, No. 119; raw total energy = -5.357 eV/atom; formation energy = 0.285 eV/atom; magnetization = 0.00 Bohr magnetons per cell
1.0
-2.115 2.115 4.334
2.115 -2.115 4.334
2.115 2.115 -4.334
Mg Zr Mo
2 1 1
Cartesian
0.000 0.000 0.000
0.000 2.115 2.167
0.000 0.000 4.334
2.115 0.000 2.167

***

PBE MgZrMo2, relaxed; SG = Cmmm, No. 65; raw total energy = -7.632 eV/atom; formation energy = 0.319 eV/atom; magnetization = 0.00 Bohr magnetons per cell
1.0
2.862 -4.676 0.000
2.862 4.676 0.000
0.000 0.000 2.699
Mg Zr Mo
1 1 2
Cartesian
0.000 0.000 0.000
2.862 0.000 0.000
1.431 2.338 1.350
1.431 -2.338 1.350

***

PBE Mg2ZrMo, relaxed; relative energy among the computed polymorphs = 190 meV per atom; SG = F-43m, No. 216; raw total energy = -5.308 eV/atom; formation energy = 0.334 eV/atom; magnetization = 0.00 Bohr magnetons per cell
1.0
0.000 3.392 3.392
3.392 0.000 3.392
3.392 3.392 0.000
Mg Zr Mo
2 1 1
Cartesian
0.000 0.000 0.000
1.696 1.696 1.696
5.088 5.088 5.088
3.392 3.392 3.392

***

PBE Mg2ZrMo, relaxed; relative energy among the computed polymorphs = 74 meV per atom; SG = P4/mmm, No. 123; raw total energy = -5.424 eV/atom; formation energy = 0.218 eV/atom; magnetization = 0.00 Bohr magnetons per cell
1.0
4.011 0.000 0.000
0.000 4.011 0.000
0.000 0.000 4.853
Mg Zr Mo
2 1 1
Cartesian
0.000 2.006 0.000
2.006 0.000 0.000
0.000 0.000 2.427
2.006 2.006 2.427

***

PBE MgZrMo2, relaxed; SG = Cmm2, No. 35; raw total energy = -7.817 eV/atom; formation energy = 0.134 eV/atom; magnetization = 0.00 Bohr magnetons per cell
1.0
1.625 -2.382 0.000
1.625 2.382 0.000
0.000 0.000 9.579
Mg Zr Mo
1 1 2
Cartesian
0.000 0.000 0.000
1.625 0.000 6.793
0.000 0.000 4.425
1.625 0.000 2.399

***

PBE Mg2ZrMo, relaxed; relative energy among the computed polymorphs = 111 meV per atom; SG = Cm, No. 8; raw total energy = -5.387 eV/atom; formation energy = 0.255 eV/atom; magnetization = 0.00 Bohr magnetons per cell
1.0
4.948 -1.451 0.000
4.948 1.451 0.000
-0.737 0.000 5.514
Mg Zr Mo
2 1 1
Cartesian
0.000 0.000 0.000
1.847 0.000 4.276
7.310 0.000 1.670
4.626 0.000 2.695

***

PBE MgZrMo2, relaxed; SG = P2/m, No. 10; raw total energy = -7.692 eV/atom; formation energy = 0.260 eV/atom; magnetization = 0.00 Bohr magnetons per cell
1.0
2.807 0.000 0.000
0.000 4.810 0.000
-0.891 0.000 5.430
Mg Zr Mo
1 1 2
Cartesian
0.000 0.000 0.000
0.958 0.000 2.715
-0.050 2.405 3.941
1.966 2.405 1.489

***

PBE MgZrMo2, relaxed; SG = F-43m, No. 216; raw total energy = -7.742 eV/atom; formation energy = 0.209 eV/atom; magnetization = 0.00 Bohr magnetons per cell
1.0
0.000 3.297 3.297
3.297 0.000 3.297
3.297 3.297 0.000
Mg Zr Mo
1 1 2
Cartesian
0.000 0.000 0.000
1.649 1.649 1.649
3.297 3.297 3.297
4.946 4.946 4.946

***

PBE MgZr2Mo2, relaxed; SG = P4/mbm, No. 127; raw total energy = -7.872 eV/atom; formation energy = 0.198 eV/atom; magnetization = 0.00 Bohr magnetons per cell
1.0
7.625 0.000 0.000
0.000 7.625 0.000
0.000 0.000 3.532
Mg Zr Mo
2 4 4
Cartesian
0.000 0.000 0.000
3.813 3.813 0.000
1.407 2.406 1.766
2.406 6.218 1.766
5.219 1.407 1.766
6.218 5.219 1.766
0.837 4.650 0.000
2.975 0.837 0.000
4.650 6.788 0.000
6.788 2.975 0.000

***

PBE MgZrMo2, relaxed; SG = C2/m, No. 12; raw total energy = -7.694 eV/atom; formation energy = 0.257 eV/atom; magnetization = 0.00 Bohr magnetons per cell
1.0
2.874 -4.746 0.000
2.874 4.746 0.000
-0.817 0.000 2.618
Mg Zr Mo
1 1 2
Cartesian
0.000 0.000 0.000
2.874 0.000 0.000
1.028 2.373 1.309
1.028 -2.373 1.309

***

PBE Mg2ZrMo, relaxed; relative energy among the computed polymorphs = 290 meV per atom; SG = Fm-3m, No. 225; raw total energy = -5.208 eV/atom; formation energy = 0.434 eV/atom; magnetization = 0.78 Bohr magnetons per cell
1.0
0.000 3.376 3.376
3.376 0.000 3.376
3.376 3.376 0.000
Mg Zr Mo
2 1 1
Cartesian
1.688 1.688 1.688
5.064 5.064 5.064
0.000 0.000 0.000
3.376 3.376 3.376

***

PBE MgZrMo2, relaxed; SG = Cm, No. 8; raw total energy = -7.633 eV/atom; formation energy = 0.318 eV/atom; magnetization = 0.00 Bohr magnetons per cell
1.0
4.817 -1.360 0.000
4.817 1.360 0.000
-0.098 0.000 5.565
Mg Zr Mo
1 1 2
Cartesian
0.000 0.000 0.000
2.375 0.000 4.099
4.815 0.000 2.629
7.113 0.000 1.385

***

PBE MgZrMo2, relaxed; SG = P4mm, No. 99; raw total energy = -7.872 eV/atom; formation energy = 0.079 eV/atom; magnetization = 0.00 Bohr magnetons per cell
1.0
3.252 0.000 0.000
0.000 3.252 0.000
0.000 0.000 7.081
Mg Zr Mo
1 1 2
Cartesian
0.000 0.000 0.000
1.626 1.626 4.867
0.000 0.000 3.152
1.626 1.626 1.766

***

PBE MgZrMo2, relaxed; SG = P4mm, No. 99; raw total energy = -7.631 eV/atom; formation energy = 0.321 eV/atom; magnetization = 0.00 Bohr magnetons per cell
1.0
2.743 0.000 0.000
0.000 2.743 0.000
0.000 0.000 9.743
Mg Zr Mo
1 1 2
Cartesian
0.000 0.000 0.000
1.372 1.372 7.018
0.000 0.000 4.599
1.372 1.372 2.302

***

PBE Mg2ZrMo, relaxed; relative energy among the computed polymorphs = 0 meV per atom; SG = Cmm2, No. 35; raw total energy = -5.498 eV/atom; formation energy = 0.144 eV/atom; magnetization = 0.00 Bohr magnetons per cell
1.0
1.742 -2.407 0.000
1.742 2.407 0.000
0.000 0.000 9.661
Mg Zr Mo
2 1 1
Cartesian
0.000 0.000 0.000
1.742 0.000 2.600
1.742 0.000 6.987
0.000 0.000 4.851

***

PBE MgZrMo3, relaxed; relative energy among the computed polymorphs = 74 meV per atom; SG = Pm-3m, No. 221; raw total energy = -6.714 eV/atom; formation energy = 1.814 eV/atom; magnetization = 0.00 Bohr magnetons per cell
1.0
4.847 0.000 0.000
0.000 4.847 0.000
0.000 0.000 4.847
Mg Zr Mo
1 1 3
Cartesian
0.000 0.000 0.000
2.424 2.424 2.424
0.000 2.424 2.424
2.424 0.000 2.424
2.424 2.424 0.000

***

PBE Mg2ZrMo, relaxed; relative energy among the computed polymorphs = 92 meV per atom; SG = Pm, No. 6; raw total energy = -5.406 eV/atom; formation energy = 0.236 eV/atom; magnetization = 0.00 Bohr magnetons per cell
1.0
2.827 0.000 0.000
0.000 4.758 0.000
-0.825 0.000 5.818
Mg Zr Mo
2 1 1
Cartesian
0.000 0.000 0.000
0.023 2.379 4.366
1.110 0.000 2.755
1.976 2.379 1.466

***

PBE MgZrMo2, relaxed; SG = P4/mmm, No. 123; raw total energy = -7.637 eV/atom; formation energy = 0.314 eV/atom; magnetization = 0.00 Bohr magnetons per cell
1.0
2.759 0.000 0.000
0.000 2.759 0.000
0.000 0.000 9.499
Mg Zr Mo
1 1 2
Cartesian
0.000 0.000 0.000
0.000 0.000 4.749
1.380 1.380 2.305
1.380 1.380 7.193

***

PBE Mg6ZrMo, relaxed; relative energy among the computed polymorphs = 0 meV per atom; SG = Amm2, No. 38; raw total energy = -3.463 eV/atom; formation energy = 0.156 eV/atom; magnetization = 0.00 Bohr magnetons per cell
1.0
4.922 0.000 0.000
0.000 3.053 5.580
0.000 -3.053 5.580
Mg Zr Mo
6 1 1
Cartesian
0.000 0.000 0.000
0.000 -1.554 8.265
0.000 1.554 8.265
2.461 -1.502 6.665
2.461 1.502 6.665
2.461 0.000 9.438
0.000 0.000 5.243
2.461 0.000 4.120

***

PBE MgZrMo2, relaxed; SG = Pm, No. 6; raw total energy = -7.774 eV/atom; formation energy = 0.177 eV/atom; magnetization = 0.00 Bohr magnetons per cell
1.0
2.856 0.000 0.000
0.000 4.493 0.000
-1.339 0.000 5.707
Mg Zr Mo
1 1 2
Cartesian
0.000 0.000 0.000
-0.095 2.246 4.110
1.078 0.000 2.622
1.842 2.246 1.472

***

PBE MgZrMo2, relaxed; SG = Pmm2, No. 25; raw total energy = -7.628 eV/atom; formation energy = 0.323 eV/atom; magnetization = 0.00 Bohr magnetons per cell
1.0
2.741 0.000 0.000
0.000 4.452 0.000
0.000 0.000 5.969
Mg Zr Mo
1 1 2
Cartesian
0.000 0.000 0.000
1.370 2.226 4.384
0.000 0.000 2.820
1.370 2.226 1.495

***

PBE MgZrMo3, relaxed; relative energy among the computed polymorphs = 0 meV per atom; SG = Pm-3m, No. 221; raw total energy = -6.788 eV/atom; formation energy = 1.739 eV/atom; magnetization = 0.00 Bohr magnetons per cell
1.0
4.622 0.000 0.000
0.000 4.622 0.000
0.000 0.000 4.622
Mg Zr Mo
1 1 3
Cartesian
0.000 0.000 0.000
2.311 2.311 2.311
0.000 0.000 2.311
0.000 2.311 0.000
2.311 0.000 0.000

***

PBE MgZrMo2, relaxed; SG = I-42d, No. 122; raw total energy = -7.097 eV/atom; formation energy = 0.854 eV/atom; magnetization = 0.00 Bohr magnetons per cell
1.0
-3.722 3.722 2.743
3.722 -3.722 2.743
3.722 3.722 -2.743
Mg Zr Mo
2 2 4
Cartesian
0.000 0.000 0.000
0.000 3.722 1.372
3.722 0.000 1.372
0.000 0.000 2.743
5.583 1.757 -0.686
1.757 1.861 0.686
-1.861 1.965 2.058
1.965 1.861 3.429

***

PBE MgZrMo2, relaxed; SG = Cmmm, No. 65; raw total energy = -7.694 eV/atom; formation energy = 0.258 eV/atom; magnetization = 0.00 Bohr magnetons per cell
1.0
1.695 -2.238 0.000
1.695 2.238 0.000
0.000 0.000 9.464
Mg Zr Mo
1 1 2
Cartesian
0.000 0.000 0.000
0.000 0.000 4.732
1.695 0.000 2.347
1.695 0.000 7.117

***

PBE MgZrMo2, relaxed; SG = P4/mmm, No. 123; raw total energy = -7.684 eV/atom; formation energy = 0.267 eV/atom; magnetization = 0.00 Bohr magnetons per cell
1.0
3.977 0.000 0.000
0.000 3.977 0.000
0.000 0.000 4.529
Mg Zr Mo
1 1 2
Cartesian
0.000 0.000 0.000
1.989 1.989 0.000
0.000 1.989 2.265
1.989 0.000 2.265

***

PBE Mg2ZrMo, relaxed; relative energy among the computed polymorphs = 132 meV per atom; SG = Cmmm, No. 65; raw total energy = -5.366 eV/atom; formation energy = 0.276 eV/atom; magnetization = 0.00 Bohr magnetons per cell
1.0
2.812 -4.804 0.000
2.812 4.804 0.000
0.000 0.000 2.877
Mg Zr Mo
2 1 1
Cartesian
1.406 2.402 0.000
1.406 -2.402 0.000
0.000 0.000 1.439
2.812 0.000 1.439

***

PBE MgZrMo2, relaxed; SG = P4/mmm, No. 123; raw total energy = -7.624 eV/atom; formation energy = 0.328 eV/atom; magnetization = 0.00 Bohr magnetons per cell
1.0
3.500 0.000 0.000
0.000 3.500 0.000
0.000 0.000 5.916
Mg Zr Mo
1 1 2
Cartesian
0.000 0.000 0.000
0.000 0.000 2.958
1.750 1.750 1.261
1.750 1.750 4.655